Compound: LaMo2W
Source: Alexandria via LeMat-Bulk
Functional: GGA-PBE
Structure: optimized geometry

Calculated values
Energy   -9.449 eV per atom
ΔE_f   437 meV/atom
Distance to the lowest polymorph of the same formula   37 meV per atom

Unit cell a=2.8829 b=2.8829 c=9.7368 alpha=90.00 beta=90.00 gamma=112.05
Fractional positions:
Mo  0.5000  0.5000  0.2490
Mo  0.0000  0.0000  0.0331
W  0.0000  0.0000  0.4664
La  0.5000  0.5000  0.7516